#a
Mg3AlSn after structural relaxation. Source: the Alexandria database, functional PBE.

Structure (POSCAR):
```
Mg3AlSn
1.0
5.154 0.000 0.000
0.000 5.154 0.000
0.000 0.000 5.154
Mg Sn Al
3 1 1
direct
0.000 0.500 0.000
0.000 0.000 0.500
0.500 0.000 0.000
0.500 0.500 0.500
0.000 0.000 0.000
```

Computed properties:
Space-group type: Pm-3m (221)
Crystal system: cubic

=====

#b
Mg3AlSn after structural relaxation. Source: the Alexandria database, functional PBE.

Structure (POSCAR):
```
Mg3AlSn
1.0
-3.929 2.108 2.960
-3.133 0.246 -4.333
-1.843 -4.914 1.053
Mg Sn Al
3 1 1
direct
0.000 0.500 0.000
0.000 0.000 0.500
0.500 0.000 0.000
0.000 0.000 0.000
0.500 0.500 0.500
```

Computed properties:
Space-group type: Pm-3m (221)
Crystal system: cubic

=====

What are the relative energies? In kJ/mol of atoms: #a 0.0; #b 12.6.

=====

#a
Mg2Al2Sn after structural relaxation. Source: the Alexandria database, functional PBE.

Structure (POSCAR):
```
Mg2Al2Sn
1.0
8.432 0.000 0.000
0.000 8.432 0.000
0.000 0.000 3.078
Mg Sn Al
4 2 4
direct
0.375 0.875 0.000
0.875 0.625 0.000
0.625 0.125 0.000
0.125 0.375 0.000
0.000 0.000 0.000
0.500 0.500 0.000
0.175 0.675 0.500
0.675 0.825 0.500
0.825 0.325 0.500
0.325 0.175 0.500
```

Computed properties:
Space-group type: P4/mbm (127)
Crystal system: tetragonal

=====

#b
Mg2Al2Sn after structural relaxation. Source: the Alexandria database, functional PBE.

Structure (POSCAR):
```
Mg2Al2Sn
1.0
-3.037 3.025 -0.016
-1.012 -1.038 -4.035
-6.184 -3.171 0.089
Mg Sn Al
2 1 2
direct
0.750 0.250 0.500
0.250 0.750 0.500
0.000 0.000 0.000
0.400 0.400 0.199
0.600 0.600 0.801
```

Computed properties:
Space-group type: I4/mmm (139)
Crystal system: tetragonal

=====

#c
Mg2Al2Sn after structural relaxation. Source: the Alexandria database, functional PBE.

Structure (POSCAR):
```
Mg2Al2Sn
1.0
8.256 0.000 0.000
0.000 8.256 0.000
0.000 0.000 3.135
Mg Sn Al
4 2 4
direct
0.182 0.682 0.500
0.682 0.818 0.500
0.818 0.318 0.500
0.318 0.182 0.500
0.000 0.000 0.000
0.500 0.500 0.000
0.385 0.885 0.000
0.885 0.615 0.000
0.615 0.115 0.000
0.115 0.385 0.000
```

Computed properties:
Space-group type: P4/mbm (127)
Crystal system: tetragonal

=====

What are the relative energies? In kJ/mol of atoms: #a 8.3; #b 12.3; #c 0.0.

=====

#a
SrMg4Al after structural relaxation. Source: the Alexandria database, functional PBE.

Structure (POSCAR):
```
SrMg4Al
1.0
4.559 0.000 0.000
0.000 8.049 0.000
0.000 0.000 8.690
Sr Mg Al
2 8 2
direct
0.000 0.620 0.750
0.000 0.380 0.250
0.000 0.000 0.500
0.000 0.000 0.000
0.500 0.962 0.750
0.500 0.038 0.250
0.500 0.697 0.060
0.500 0.303 0.940
0.500 0.697 0.440
0.500 0.303 0.560
0.000 0.212 0.750
0.000 0.788 0.250
```

Computed properties:
Space-group type: Pmma (51)
Crystal system: orthorhombic

=====

#b
SrMg4Al after structural relaxation. Source: the Alexandria database, functional PBE.

Structure (POSCAR):
```
SrMg4Al
1.0
5.886 -1.464 0.435
1.728 -5.813 -0.449
3.032 -1.899 -4.917
Sr Mg Al
1 4 1
direct
0.750 0.750 0.750
0.877 0.374 0.374
0.374 0.374 0.877
0.374 0.877 0.374
0.374 0.374 0.374
0.000 0.000 0.000
```

Computed properties:
Space-group type: F-43m (216)
Crystal system: cubic

=====

What are the relative energies? In kJ/mol of atoms: #a 0.0; #b 12.7.

=====

#a
Sr3MgAl after structural relaxation. Source: the Alexandria database, functional PBE.

Structure (POSCAR):
```
Sr3MgAl
1.0
-4.026 0.086 4.146
3.284 -3.452 3.260
2.874 8.999 6.632
Sr Mg Al
6 2 2
direct
0.751 0.250 0.146
0.397 0.250 0.853
0.575 0.250 0.499
0.251 0.750 0.147
0.897 0.750 0.854
0.074 0.750 0.501
0.486 0.750 0.676
0.162 0.250 0.324
0.664 0.750 0.320
0.984 0.250 0.680
```

Computed properties:
Space-group type: Cmcm (63)
Crystal system: orthorhombic

=====

#b
Sr3MgAl after structural relaxation. Source: the Alexandria database, functional PBE.

Structure (POSCAR):
```
Sr3MgAl
1.0
6.279 0.000 0.000
0.000 6.279 0.000
0.000 0.000 6.279
Sr Mg Al
3 1 1
direct
0.000 0.500 0.000
0.000 0.000 0.500
0.500 0.000 0.000
0.500 0.500 0.500
0.000 0.000 0.000
```

Computed properties:
Space-group type: Pm-3m (221)
Crystal system: cubic

=====

What are the relative energies? In kJ/mol of atoms: #a 0.0; #b 27.3.

=====

#a
SrMg14Al after structural relaxation. Source: the Alexandria database, functional PBE.

Structure (POSCAR):
```
SrMg14Al
1.0
1.832 1.301 6.165
-6.268 0.755 -1.788
-1.946 -9.858 2.659
Sr Mg Al
1 14 1
direct
0.000 0.000 0.500
0.990 0.495 0.000
0.012 0.506 0.500
0.505 0.010 0.000
0.494 0.988 0.500
0.505 0.495 0.000
0.494 0.506 0.500
0.168 0.832 0.233
0.168 0.832 0.767
0.168 0.335 0.233
0.168 0.335 0.767
0.665 0.832 0.233
0.665 0.832 0.767
0.667 0.333 0.258
0.667 0.333 0.742
0.000 0.000 0.000
```

Computed properties:
Space-group type: P-6m2 (187)
Crystal system: hexagonal

=====

#b
SrMg14Al after structural relaxation. Source: the Alexandria database, functional PBE.

Structure (POSCAR):
```
SrMg14Al
1.0
3.218 -5.777 0.000
3.218 5.777 0.000
0.000 0.000 10.392
Sr Mg Al
1 14 1
direct
0.323 0.677 0.500
0.830 0.170 0.000
0.333 0.667 0.000
0.314 0.170 0.500
0.339 0.173 0.000
0.830 0.686 0.500
0.827 0.661 0.000
0.167 0.326 0.244
0.167 0.326 0.756
0.674 0.833 0.244
0.674 0.833 0.756
0.674 0.326 0.268
0.674 0.326 0.732
0.163 0.837 0.238
0.163 0.837 0.762
0.847 0.153 0.500
```

Computed properties:
Space-group type: Amm2 (38)
Crystal system: orthorhombic

=====

What are the relative energies? In kJ/mol of atoms: #a 1.8; #b 0.0.

=====

#a
SrMg3Al after structural relaxation. Source: the Alexandria database, functional PBE.

Structure (POSCAR):
```
SrMg3Al
1.0
-0.555 -4.159 -4.699
5.623 -2.424 1.481
-2.786 -4.064 3.925
Sr Mg Al
1 3 1
direct
0.000 0.000 0.000
0.000 0.500 0.000
0.000 0.000 0.500
0.500 0.000 0.000
0.500 0.500 0.500
```

Computed properties:
Space-group type: Pm-3m (221)
Crystal system: cubic

=====

#b
SrMg3Al after structural relaxation. Source: the Alexandria database, functional PBE.

Structure (POSCAR):
```
SrMg3Al
1.0
4.567 0.000 0.000
0.000 7.464 1.949
0.000 0.254 8.126
Sr Mg Al
2 6 2
direct
0.381 0.531 0.226
0.881 0.143 0.580
0.881 0.677 0.508
0.381 0.998 0.298
0.881 0.680 0.880
0.881 0.248 0.044
0.381 0.427 0.762
0.381 0.996 0.926
0.381 0.813 0.661
0.881 0.862 0.145
```

Computed properties:
Space-group type: P2_1/m (11)
Crystal system: monoclinic

=====

#c
SrMg3Al after structural relaxation. Source: the Alexandria database, functional PBE.

Structure (POSCAR):
```
SrMg3Al
1.0
5.336 0.000 0.000
0.000 5.336 0.000
0.000 0.000 5.336
Sr Mg Al
1 3 1
direct
0.500 0.500 0.500
0.000 0.500 0.000
0.000 0.000 0.500
0.500 0.000 0.000
0.000 0.000 0.000
```

Computed properties:
Space-group type: Pm-3m (221)
Crystal system: cubic

=====

What are the relative energies? In kJ/mol of atoms: #a 124.6; #b 0.0; #c 25.3.

=====

#a
Mg2TaAl after structural relaxation. Source: the Alexandria database, functional PBE.

Structure (POSCAR):
```
Mg2TaAl
1.0
7.627 0.000 0.000
0.000 7.627 0.000
3.814 3.814 2.749
Mg Al Ta
4 2 2
direct
0.603 0.125 0.250
0.147 0.625 0.250
0.375 0.397 0.750
0.875 0.853 0.750
0.500 0.500 0.000
0.250 0.750 0.500
0.000 0.000 0.000
0.750 0.250 0.500
```

Computed properties:
Space-group type: I-42d (122)
Crystal system: tetragonal

=====

#b
Mg2TaAl after structural relaxation. Source: the Alexandria database, functional PBE.

Structure (POSCAR):
```
Mg2TaAl
1.0
0.000 3.344 3.344
3.344 0.000 3.344
3.344 3.344 0.000
Mg Al Ta
2 1 1
direct
0.250 0.250 0.250
0.750 0.750 0.750
0.000 0.000 0.000
0.500 0.500 0.500
```

Computed properties:
Space-group type: Fm-3m (225)
Crystal system: cubic

=====

What are the relative energies? In kJ/mol of atoms: #a 13.2; #b 0.0.

=====

#a
Mg2TaAl after structural relaxation. Source: the Alexandria database, functional PBE.

Structure (POSCAR):
```
Mg2TaAl
1.0
-1.363 -3.674 2.136
2.153 -1.534 -1.265
4.589 0.503 3.793
Al Mg Ta
1 2 1
direct
0.500 0.955 0.711
0.000 0.813 0.009
0.500 0.189 0.245
0.000 0.544 0.535
```

Computed properties:
Space-group type: Pm (6)
Crystal system: monoclinic

=====

#b
Mg2TaAl after structural relaxation. Source: the Alexandria database, functional PBE.

Structure (POSCAR):
```
Mg2TaAl
1.0
-0.534 5.483 0.919
-3.269 4.527 0.066
-1.663 0.735 4.509
Al Mg Ta
1 2 1
direct
0.250 0.250 0.250
0.994 0.994 0.001
0.506 0.506 0.499
0.750 0.750 0.750
```

Computed properties:
Space-group type: C2/m (12)
Crystal system: monoclinic

=====

#c
Mg2TaAl after structural relaxation. Source: the Alexandria database, functional PBE.

Structure (POSCAR):
```
Mg2TaAl
1.0
10.048 -0.005 -0.003
9.605 2.949 -0.003
9.605 1.439 2.574
Al Mg Ta
1 2 1
direct
0.750 0.750 0.750
0.002 0.002 0.002
0.498 0.498 0.498
0.250 0.250 0.250
```

Computed properties:
Space-group type: R-3m (166)
Crystal system: trigonal

=====

What are the relative energies? In kJ/mol of atoms: #a 1.1; #b 0.0; #c 6.6.

=====

#a
Mg2TaAl after structural relaxation. Source: the Alexandria database, functional PBE.

Structure (POSCAR):
```
Mg2TaAl
1.0
-2.010 0.289 -2.182
-3.052 -0.956 2.684
-0.640 5.885 1.367
Al Mg Ta
1 2 1
direct
0.500 0.500 0.722
0.000 0.000 0.002
0.500 0.500 0.259
0.000 0.000 0.517
```

Computed properties:
Space-group type: Pmm2 (25)
Crystal system: orthorhombic

=====

#b
Mg2TaAl after structural relaxation. Source: the Alexandria database, functional PBE.

Structure (POSCAR):
```
Mg2TaAl
1.0
-0.991 -1.077 -2.596
2.390 -3.699 0.622
-4.426 -2.407 2.689
Al Mg Ta
1 2 1
direct
0.500 0.500 0.750
0.000 0.000 0.007
0.000 0.000 0.493
0.500 0.500 0.250
```

Computed properties:
Space-group type: Pmmm (47)
Crystal system: orthorhombic

=====

What are the relative energies? In kJ/mol of atoms: #a 0.0; #b 8.3.

=====

#a
MgTa2Al after structural relaxation. Source: the Alexandria database, functional PBE.

Structure (POSCAR):
```
MgTa2Al
1.0
-3.853 2.600 -0.345
-2.514 -0.068 -3.924
-4.191 -2.039 -0.048
Al Mg Ta
1 1 2
direct
0.500 0.500 0.500
0.750 0.750 0.750
0.000 0.000 0.000
0.250 0.250 0.250
```

Computed properties:
Space-group type: F-43m (216)
Crystal system: cubic

=====

#b
MgTa2Al after structural relaxation. Source: the Alexandria database, functional PBE.

Structure (POSCAR):
```
MgTa2Al
1.0
5.246 0.007 -0.055
-2.183 4.770 -0.055
0.050 0.078 2.838
Al Mg Ta
1 1 2
direct
0.500 0.000 0.500
0.000 0.500 0.500
0.000 0.000 0.000
0.500 0.500 0.000
```

Computed properties:
Space-group type: C2/m (12)
Crystal system: monoclinic

=====

#c
MgTa2Al after structural relaxation. Source: the Alexandria database, functional PBE.

Structure (POSCAR):
```
MgTa2Al
1.0
-2.229 -0.969 -1.524
0.107 -2.478 1.441
-5.479 3.230 5.961
Al Mg Ta
1 1 2
direct
0.500 0.500 0.250
0.500 0.500 0.750
0.000 0.000 0.023
0.000 0.000 0.477
```

Computed properties:
Space-group type: Cmmm (65)
Crystal system: orthorhombic

=====

#d
MgTa2Al after structural relaxation. Source: the Alexandria database, functional PBE.

Structure (POSCAR):
```
MgTa2Al
1.0
-1.311 -4.720 -1.288
0.505 -3.770 -3.345
3.923 -2.601 2.262
Al Mg Ta
1 1 2
direct
0.493 0.493 0.495
0.248 0.248 0.266
0.009 0.009 0.974
0.750 0.750 0.766
```

Computed properties:
Space-group type: Cm (8)
Crystal system: monoclinic

=====

What are the relative energies? In kJ/mol of atoms: #a 20.6; #b 3.6; #c 0.0; #d 8.2.

=====

#a
MgTa2Al after structural relaxation. Source: the Alexandria database, functional PBE.

Structure (POSCAR):
```
MgTa2Al
1.0
10.032 0.011 0.006
9.603 2.901 0.006
9.603 1.424 2.528
Al Mg Ta
1 1 2
direct
0.250 0.250 0.250
0.750 0.750 0.750
0.996 0.996 0.996
0.504 0.504 0.504
```

Computed properties:
Space-group type: R-3m (166)
Crystal system: trigonal

=====

#b
MgTa2Al after structural relaxation. Source: the Alexandria database, functional PBE.

Structure (POSCAR):
```
MgTa2Al
1.0
-2.118 -2.416 1.437
2.209 -0.318 2.721
-2.859 4.177 2.810
Al Mg Ta
1 1 2
direct
0.500 0.500 0.250
0.500 0.500 0.750
0.000 0.000 0.020
0.000 0.000 0.480
```

Computed properties:
Space-group type: P4/mmm (123)
Crystal system: tetragonal

=====

What are the relative energies? In kJ/mol of atoms: #a 0.0; #b 12.6.